ReMoIF2 | GGA+U | relaxed

Summary:
As for the density of states at the Fermi level: 3.418 states/eV/cell. As for the total moment: 1.5837 μB/atom. The space-group type is P4/mmm (123). The value obtained for the total energy is -5.0810 eV/atom.

Lattice parameters (Å, degrees): 4.202 4.202 7.374 90.00 90.00 90.00
Element x y z (fractional)
1 Re 0.000 0.000 0.000
2 Mo 0.500 0.500 0.500
3 I 0.500 0.500 0.000
4 F 0.000 0.500 0.500
5 F 0.500 0.000 0.500